(1)
First-principles (GGA-PBE) data for Li12Ga after structural relaxation, as listed in Alexandria.

For the total magnetic moment, the calculation gives 0.0 μB per cell. The formation energy comes out at 0.51 eV/atom. For the density, the calculation gives 0.73 g/cm3.

The structure belongs to space group Fm-3m (No. 225); the cell edges are 11.1835, 11.1835 and 11.1835 Å and the angles 90.00°, 90.00° and 90.00°. The inequivalent atoms are Li at (0.0000, 0.1714, 0.1714) and Ga at (0.0000, 0.0000, 0.5000).

(2)
First-principles (GGA-PBE) data for Pu2CrB10 after structural relaxation, as listed in Alexandria.

For the total magnetic moment, the calculation gives 16.1 μB per cell. The formation energy comes out at -0.36 eV/atom. For the density, the calculation gives 8.17 g/cm3.

The structure belongs to space group Pbam (No. 55); the cell edges are 5.6509, 11.2526 and 4.1424 Å and the angles 90.00°, 90.00° and 90.00°. The inequivalent atoms are Pu at (0.2103, 0.1341, 0.0000), Cr at (0.0000, 0.5000, 0.5000), B at (0.0494, 0.3094, 0.5000), B at (0.1225, 0.9596, 0.5000), B at (0.1401, 0.8027, 0.5000) and B at (0.2159, 0.3836, 0.1992).

(3)
First-principles (GGA-PBE) data for AcAgSe2 after structural relaxation, as listed in Alexandria.

For the total magnetic moment, the calculation gives 0.0 μB per cell. For the density, the calculation gives 7.25 g/cm3. The raw formation energy comes out at -1121.5 meV/atom.

The structure belongs to space group R3m (No. 160, hexagonal axes); the cell edges are 4.3465, 4.3465 and 20.6954 Å and the angles 90.00°, 90.00° and 120.00°. The inequivalent atoms are Ac at (0.0000, 0.0000, 0.0000), Ag at (0.0000, 0.0000, 0.8215), Se at (0.0000, 0.0000, 0.2440) and Se at (0.0000, 0.0000, 0.4258).